Below is a relaxed structure of NaSrBiWO6, with properties calculated at the PBE+U level.

Lattice parameters (Å, degrees): 6.0156 6.0156 6.0156 60.00 60.00 60.00
With the nearest neighbours (Å) after each atom.
Element x y z (fractional)
Na 0.0000 0.0000 0.0000  12 O 3.01
Sr 0.5000 0.5000 0.5000  12 O 3.01
Bi 0.2500 0.2500 0.2500  6 O 2.31
W 0.7500 0.7500 0.7500  6 O 1.95
O 0.5212 0.5212 0.9788  1 W 1.95
O 0.5212 0.9788 0.5212  1 W 1.95
O 0.5212 0.9788 0.9788  1 W 1.95
O 0.9788 0.5212 0.5212  1 W 1.95
O 0.9788 0.5212 0.9788  1 W 1.95
O 0.9788 0.9788 0.5212  1 W 1.95

Results
space-group type: F-43m, No. 216
raw total energy: -0.466 Ry per atom
calculated volume: 153.9 Å³ per cell